No. 1
A relaxed structure of TmLuMnPd. Source: Alexandria, functional PBE.

## Properties
**Crystal system**: cubic
**ΔH_f (0 K)**: -324 meV/atom
**Energy**: -6.162 eV per atom

```
TmLuMnPd
1.0
0.000 3.457 3.457
3.457 0.000 3.457
3.457 3.457 0.000
Tm Lu Mn Pd
1 1 1 1
direct
0.000 0.000 0.000
0.500 0.500 0.500
0.250 0.250 0.250
0.750 0.750 0.750
```



No. 2
A relaxed structure of LuMnZnPd. Source: Alexandria, functional PBE.

## Properties
**Crystal system**: cubic
**ΔH_f (0 K)**: -326 meV/atom
**Energy**: -5.365 eV per atom

```
LuMnZnPd
1.0
0.000 3.292 3.292
3.292 0.000 3.292
3.292 3.292 0.000
Lu Mn Zn Pd
1 1 1 1
direct
0.000 0.000 0.000
0.500 0.500 0.500
0.750 0.750 0.750
0.250 0.250 0.250
```



No. 3
A relaxed structure of PmLuMn. Source: Alexandria, functional PBE.

## Properties
**Crystal system**: tetragonal
**ΔH_f (0 K)**: 167 meV/atom
**Energy**: -5.980 eV per atom

```
PmLuMn
1.0
-1.745 1.745 6.340
1.745 -1.745 6.340
1.745 1.745 -6.340
Pm Lu Mn
1 1 1
direct
0.000 0.000 0.000
0.276 0.276 0.000
0.646 0.646 0.000
```



No. 4
A relaxed structure of PmLu3Mn. Source: Alexandria, functional PBE.

## Properties
**Crystal system**: cubic
**ΔH_f (0 K)**: 186 meV/atom
**Energy**: -5.311 eV per atom

```
PmLu3Mn
1.0
5.218 0.000 0.000
0.000 5.218 0.000
0.000 0.000 5.218
Pm Lu Mn
1 3 1
direct
0.000 0.000 0.000
0.000 0.500 0.500
0.500 0.000 0.500
0.500 0.500 0.000
0.500 0.500 0.500
```



No. 5
A relaxed structure of PmLu2Mn. Source: Alexandria, functional PBE.

## Properties
**Crystal system**: tetragonal
**ΔH_f (0 K)**: 92 meV/atom
**Energy**: -5.648 eV per atom

```
PmLu2Mn
1.0
3.416 0.000 0.000
0.000 3.416 0.000
0.000 0.000 8.921
Pm Lu Mn
1 2 1
direct
0.000 0.000 0.000
0.500 0.500 0.309
0.500 0.500 0.691
0.000 0.000 0.500
```



No. 6
A relaxed structure of PmLuMnRu. Source: Alexandria, functional PBE.

## Properties
**Crystal system**: cubic
**ΔH_f (0 K)**: -40 meV/atom
**Energy**: -6.970 eV per atom

```
PmLuMnRu
1.0
0.000 3.478 3.478
3.478 0.000 3.478
3.478 3.478 0.000
Pm Lu Mn Ru
1 1 1 1
direct
0.000 0.000 0.000
0.500 0.500 0.500
0.250 0.250 0.250
0.750 0.750 0.750
```